[1]
The following is a GGA-PBE calculation of a relaxed Lu2BiRu crystal, from Alexandria.

The structure in extended XYZ format:
```
4
Lattice="-1.041 -3.090 -1.444 1.929 -2.953 0.526 -4.483 -3.831 7.025" Properties=species:S:1:pos:R:3 pbc="T T T"
Ru 0.000 0.000 0.000
Lu -0.674 -2.383 1.181
Lu -2.921 -7.491 4.925
Bi -1.797 -4.937 3.053
```

Summary:
Relative energy among the computed polymorphs = 24.25 kJ per mole of atoms
E_form = -0.337 eV per atom
SG = No. 166


[2]
The following is a GGA-PBE calculation of a relaxed ZnIrRu2 crystal, from Alexandria.

The structure in extended XYZ format:
```
4
Lattice="4.513 0.000 0.000 0.000 4.513 0.000 0.000 0.000 2.809" Properties=species:S:1:pos:R:3 pbc="T T T"
Ir 0.000 2.257 1.405
Ru 0.000 0.000 0.000
Ru 2.257 2.257 0.000
Zn 2.257 0.000 1.405
```

Summary:
E_form = 0.225 eV per atom
SG = No. 123


[3]
The following is a GGA-PBE calculation of a relaxed Cs2ZrSbBr6 crystal, from Alexandria.

The structure in extended XYZ format:
```
10
Lattice="7.992 0.000 0.000 0.000 7.992 0.000 3.996 3.996 6.610" Properties=species:S:1:pos:R:3 pbc="T T T"
Cs 7.992 3.996 3.305
Cs 3.996 7.992 3.305
Sb 0.000 0.000 0.000
Br 3.996 3.996 2.689
Br 7.992 7.992 3.922
Br 2.097 2.097 0.000
Br 5.895 5.895 0.000
Br 5.895 2.097 0.000
Br 2.097 5.895 0.000
Zr 3.996 3.996 0.000
```

Summary:
Raw formation energy = -1.139 eV/atom
SG = No. 139


[4]
The following is a GGA-PBE calculation of a relaxed MgSb2PC crystal, from Alexandria.

The structure in extended XYZ format:
```
5
Lattice="5.215 0.000 0.000 0.000 4.651 0.000 0.000 0.000 5.215" Properties=species:S:1:pos:R:3 pbc="T T T"
Sb 0.000 0.000 2.608
Sb 2.608 0.000 0.000
Mg 0.000 2.326 0.000
C 2.608 2.326 2.608
P 0.000 0.000 0.000
```

Summary:
Raw formation energy = 1.574 eV/atom
SG = No. 123


[5]
The following is a GGA-PBE calculation of a relaxed Sm4Te3N2 crystal, from Alexandria.

The structure in extended XYZ format:
```
9
Lattice="4.175 0.000 0.000 -2.087 7.016 -0.850 0.000 -4.091 8.781" Properties=species:S:1:pos:R:3 pbc="T T T"
Sm 2.087 2.114 0.897
Sm 0.000 0.811 7.034
Sm 2.087 2.801 4.517
Sm 0.000 0.124 3.414
Te 2.087 -1.353 6.188
Te 0.000 0.000 0.000
Te 0.000 4.278 1.743
N 2.087 1.193 2.880
N 0.000 1.732 5.051
```

Summary:
Raw formation energy = -1.497 eV/atom
SG = No. 12


[6]
The following is a GGA-PBE calculation of a relaxed Ca2Cd2Sb crystal, from Alexandria.

The structure in extended XYZ format:
```
10
Lattice="-3.150 7.274 -1.947 -7.505 -2.863 1.446 0.355 1.378 4.574" Properties=species:S:1:pos:R:3 pbc="T T T"
Sb 0.000 0.000 0.000
Sb -5.328 2.205 -0.251
Ca -7.334 0.051 0.555
Ca -7.617 4.180 -0.668
Ca -3.321 4.360 -1.056
Ca -3.039 0.230 0.167
Cd -5.046 -0.134 2.941
Cd -8.301 2.862 2.291
Cd -5.254 5.922 1.132
Cd -1.999 2.927 1.782
```

Summary:
Relative energy among the computed polymorphs = 15.71 kJ per mole of atoms
Raw formation energy = -0.259 eV/atom
SG = No. 127


Raw total energy / eV per formula unit: -23.55, -27.79, -35.81, -16.61, -58.42, -11.25